i | CrSeS2Cl | PBE-GGA | relaxed

Properties
The space group is No. 123.

Lattice parameters (Å, degrees): 4.8894 4.8894 4.7792 90.00 90.00 90.00
Fractional positions:
Cr 0.5000 0.5000 0.5000
Cl 0.0000 0.0000 0.5000
S 0.0000 0.5000 0.0000
Se 0.0000 0.0000 0.0000
S 0.5000 0.0000 0.0000

ii | CrSeS2Cl | PBE-GGA | relaxed

Properties
The space group is No. 123.

Lattice parameters (Å, degrees): 4.5120 4.5120 4.5389 90.00 90.00 90.00
Fractional positions:
S 0.5000 0.0000 0.0000
Se 0.5000 0.5000 0.5000
Cr 0.0000 0.0000 0.0000
Cl 0.0000 0.0000 0.5000
S 0.0000 0.5000 0.0000

Most stable: ii

i | SrCrSCl2 | PBE-GGA | relaxed

Properties
The space group is No. 123.

Lattice parameters (Å, degrees): 5.4568 5.4568 5.8265 90.00 90.00 90.00
Fractional positions:
Sr 0.0000 0.0000 0.0000
Cl 0.0000 0.5000 0.0000
Cr 0.5000 0.5000 0.5000
Cl 0.5000 0.0000 0.0000
S 0.0000 0.0000 0.5000

ii | SrCrSCl2 | PBE-GGA | relaxed

Properties
The space group is No. 123.

Lattice parameters (Å, degrees): 4.8261 4.8261 4.9613 90.00 90.00 90.00
Fractional positions:
Cl 0.0000 0.5000 0.0000
Cr 0.0000 0.0000 0.0000
Sr 0.5000 0.5000 0.5000
Cl 0.5000 0.0000 0.0000
S 0.0000 0.0000 0.5000

Most stable: ii

i | TaCrS2Cl | PBE-GGA | relaxed

Properties
The space group is No. 123.

Lattice parameters (Å, degrees): 4.8107 4.8107 4.8027 90.00 90.00 90.00
Fractional positions:
Cr 0.5000 0.5000 0.5000
S 0.0000 0.5000 0.0000
Cl 0.0000 0.0000 0.5000
Ta 0.0000 0.0000 0.0000
S 0.5000 0.0000 0.0000

ii | TaCrS2Cl | PBE-GGA | relaxed

Properties
The space group is No. 123.

Lattice parameters (Å, degrees): 4.4701 4.4701 4.3642 90.00 90.00 90.00
Fractional positions:
Cl 0.0000 0.0000 0.5000
S 0.5000 0.0000 0.0000
Ta 0.5000 0.5000 0.5000
S 0.0000 0.5000 0.0000
Cr 0.0000 0.0000 0.0000

Most stable: i

i | CrTcSCl2 | PBE-GGA | relaxed

Properties
The space group is No. 123.

Lattice parameters (Å, degrees): 4.9639 4.9639 4.4565 90.00 90.00 90.00
Fractional positions:
Cl 0.5000 0.0000 0.0000
Cr 0.5000 0.5000 0.5000
Tc 0.0000 0.0000 0.0000
S 0.0000 0.0000 0.5000
Cl 0.0000 0.5000 0.0000

ii | CrTcSCl2 | PBE-GGA | relaxed

Properties
The space group is No. 123.

Lattice parameters (Å, degrees): 4.6777 4.6777 4.9244 90.00 90.00 90.00
Fractional positions:
Cl 0.0000 0.5000 0.0000
Cl 0.5000 0.0000 0.0000
S 0.0000 0.0000 0.5000
Cr 0.0000 0.0000 0.0000
Tc 0.5000 0.5000 0.5000

Most stable: i

i | CrTcS2Cl | PBE-GGA | relaxed

Properties
The space group is No. 123.

Lattice parameters (Å, degrees): 4.5787 4.5787 4.8777 90.00 90.00 90.00
Fractional positions:
Cr 0.5000 0.5000 0.5000
Tc 0.0000 0.0000 0.0000
Cl 0.0000 0.0000 0.5000
S 0.5000 0.0000 0.0000
S 0.0000 0.5000 0.0000

ii | CrTcS2Cl | PBE-GGA | relaxed

Properties
The space group is No. 123.

Lattice parameters (Å, degrees): 4.4650 4.4650 4.7777 90.00 90.00 90.00
Fractional positions:
Tc 0.5000 0.5000 0.5000
S 0.5000 0.0000 0.0000
S 0.0000 0.5000 0.0000
Cl 0.0000 0.0000 0.5000
Cr 0.0000 0.0000 0.0000

Most stable: ii

i | TiCrS2Cl | PBE-GGA | relaxed

Properties
The space group is No. 123.

Lattice parameters (Å, degrees): 4.6747 4.6747 4.4953 90.00 90.00 90.00
Fractional positions:
Cr 0.0000 0.0000 0.0000
S 0.0000 0.5000 0.0000
S 0.5000 0.0000 0.0000
Cl 0.0000 0.0000 0.5000
Ti 0.5000 0.5000 0.5000

ii | TiCrS2Cl | PBE-GGA | relaxed

Properties
The space group is No. 123.

Lattice parameters (Å, degrees): 4.7372 4.7372 4.7208 90.00 90.00 90.00
Fractional positions:
Cl 0.0000 0.0000 0.5000
Cr 0.5000 0.5000 0.5000
Ti 0.0000 0.0000 0.0000
S 0.5000 0.0000 0.0000
S 0.0000 0.5000 0.0000

Most stable: ii

i | TlCrSCl2 | PBE-GGA | relaxed

Properties
The space group is No. 123.

Lattice parameters (Å, degrees): 5.3044 5.3044 5.1439 90.00 90.00 90.00
Fractional positions:
Cr 0.5000 0.5000 0.5000
S 0.0000 0.0000 0.5000
Cl 0.0000 0.5000 0.0000
Cl 0.5000 0.0000 0.0000
Tl 0.0000 0.0000 0.0000

ii | TlCrSCl2 | PBE-GGA | relaxed

Properties
The space group is No. 123.

Lattice parameters (Å, degrees): 5.0493 5.0493 4.5767 90.00 90.00 90.00
Fractional positions:
Cr 0.0000 0.0000 0.0000
S 0.0000 0.0000 0.5000
Tl 0.5000 0.5000 0.5000
Cl 0.0000 0.5000 0.0000
Cl 0.5000 0.0000 0.0000

Most stable: ii

i | CrWSCl2 | PBE-GGA | relaxed

Properties
The space group is No. 123.

Lattice parameters (Å, degrees): 4.9176 4.9176 4.6244 90.00 90.00 90.00
Fractional positions:
Cr 0.5000 0.5000 0.5000
W 0.0000 0.0000 0.0000
Cl 0.0000 0.5000 0.0000
Cl 0.5000 0.0000 0.0000
S 0.0000 0.0000 0.5000

ii | CrWSCl2 | PBE-GGA | relaxed

Properties
The space group is No. 123.

Lattice parameters (Å, degrees): 4.4170 4.4170 5.0291 90.00 90.00 90.00
Fractional positions:
W 0.5000 0.5000 0.5000
Cr 0.0000 0.0000 0.0000
Cl 0.5000 0.0000 0.0000
S 0.0000 0.0000 0.5000
Cl 0.0000 0.5000 0.0000

Most stable: i